Record 1
A plane-wave DFT calculation with GGA-PBE was carried out for HgRh2W after structural relaxation.

Structure (POSCAR):
```
HgRh2W
1.0
4.7585 -1.4314 0.0000
4.7585 1.4314 0.0000
-0.9185 0.0000 4.7227
Hg Rh W
1 2 1
Direct
0.0000 0.0000 0.0000
0.2449 0.2449 0.7773
0.4988 0.4988 0.4934
0.7616 0.7616 0.3119
```

Summary:
- Fermi-level density of states (states/eV/cell) = 2.916
- total DFT energy (no corrections) (eV for the cell shown) = -27.197
- formation energy from the elements (meV per atom) = 190
- symmetry = Cm, No. 8
- magnetization (μB per cell) = 0.000


Record 2
A plane-wave DFT calculation with GGA-PBE was carried out for HgRhW after structural relaxation.

Structure (POSCAR):
```
HgRhW
1.0
0.0000 3.0717 3.0717
3.0717 0.0000 3.0717
3.0717 3.0717 0.0000
Hg Rh W
1 1 1
Direct
0.0000 0.0000 0.0000
0.2500 0.2500 0.2500
0.5000 0.5000 0.5000
```

Summary:
- Fermi-level density of states (states/eV/cell) = 6.414
- total DFT energy (no corrections) (eV for the cell shown) = -18.523
- formation energy from the elements (meV per atom) = 694
- symmetry = F-43m, No. 216
- magnetization (μB per cell) = 0.007


Record 3
A plane-wave DFT calculation with GGA-PBE was carried out for HgRh2W2 after structural relaxation.

Structure (POSCAR):
```
HgRh2W2
1.0
-1.9652 1.9652 5.8489
1.9652 -1.9652 5.8489
1.9652 1.9652 -5.8489
Hg Rh W
1 2 2
Direct
0.0000 0.0000 0.0000
0.2500 0.7500 0.5000
0.7500 0.2500 0.5000
0.3914 0.3914 0.0000
0.6086 0.6086 0.0000
```

Summary:
- Fermi-level density of states (states/eV/cell) = 6.232
- total DFT energy (no corrections) (eV for the cell shown) = -38.070
- formation energy from the elements (meV per atom) = 568
- symmetry = I4/mmm, No. 139
- magnetization (μB per cell) = 0.000


Record 4
A plane-wave DFT calculation with GGA-PBE was carried out for Hg3RhW after structural relaxation.

Structure (POSCAR):
```
Hg3RhW
1.0
5.2213 0.0000 0.0000
0.0000 5.2213 0.0000
0.0000 0.0000 5.2213
Hg Rh W
3 1 1
Direct
0.0000 0.0000 0.5000
0.0000 0.5000 0.0000
0.5000 0.0000 0.0000
0.5000 0.5000 0.5000
0.0000 0.0000 0.0000
```

Summary:
- Fermi-level density of states (states/eV/cell) = 10.049
- total DFT energy (no corrections) (eV for the cell shown) = -12.857
- formation energy from the elements (meV per atom) = 1671
- symmetry = Pm-3m, No. 221
- magnetization (μB per cell) = 0.754


Record 5
A plane-wave DFT calculation with GGA-PBE was carried out for HgRh2W after structural relaxation.

Structure (POSCAR):
```
HgRh2W
1.0
1.4365 0.8294 9.1450
-1.4365 0.8294 9.1450
0.0000 -1.6588 9.1450
Hg Rh W
1 2 1
Direct
0.0000 0.0000 0.0000
0.2430 0.2430 0.2430
0.7570 0.7570 0.7570
0.5000 0.5000 0.5000
```

Summary:
- Fermi-level density of states (states/eV/cell) = 1.166
- total DFT energy (no corrections) (eV for the cell shown) = -27.905
- formation energy from the elements (meV per atom) = 13
- symmetry = R-3m, No. 166
- magnetization (μB per cell) = 0.000


Record 6
A plane-wave DFT calculation with GGA-PBE was carried out for HgRhW after structural relaxation.

Structure (POSCAR):
```
HgRhW
1.0
-1.4335 1.9712 4.4410
1.4335 -1.9712 4.4410
1.4335 1.9712 -4.4410
Hg Rh W
1 1 1
Direct
0.0000 0.0000 0.0000
0.3199 0.3199 0.0000
0.6821 0.6821 0.0000
```

Summary:
- Fermi-level density of states (states/eV/cell) = 1.765
- total DFT energy (no corrections) (eV for the cell shown) = -19.461
- formation energy from the elements (meV per atom) = 382
- symmetry = Imm2, No. 44
- magnetization (μB per cell) = 0.000